*a*
# AgHgPS2

A crystal of AgHgPS2 relaxed with PBEsol (SCAN, Alexandria).

Results
**DOS at the Fermi energy**: 4.213 states/eV per cell
**Space group**: P4/mmm

Structure (POSCAR):
```
AgHgPS2
1.0
-4.7441 -0.2488 0.2701
0.0931 -4.2031 -2.2367
0.3555 -2.2248 4.1954
S P Hg Ag
2 1 1 1
direct
0.0000 0.0000 0.5000
0.0000 0.5000 0.0000
0.5000 0.0000 0.0000
0.5000 0.5000 0.5000
0.0000 0.0000 0.0000
```

*b*
# AgHgPS2

A crystal of AgHgPS2 relaxed with PBEsol (SCAN, Alexandria).

Results
**DOS at the Fermi energy**: 3.231 states/eV per cell
**Space group**: P4/mmm

Structure (POSCAR):
```
AgHgPS2
1.0
4.8677 0.0000 0.0000
0.0000 4.9761 0.0000
0.0000 0.0000 4.9761
S P Hg Ag
2 1 1 1
direct
0.0000 0.5000 0.0000
0.0000 0.0000 0.5000
0.5000 0.0000 0.0000
0.0000 0.0000 0.0000
0.5000 0.5000 0.5000
```

Most stable to least stable: *a*, *b*

*a*
# AgHgPb

A crystal of AgHgPb relaxed with PBEsol (SCAN, Alexandria).

Results
**DOS at the Fermi energy**: 1.224 states/eV per cell
**Space group**: I4mm

Structure (POSCAR):
```
AgHgPb
1.0
-2.8846 1.6254 -0.1367
-1.4810 -2.4935 1.6034
3.4598 3.1557 4.6789
Pb Hg Ag
1 1 1
direct
0.3433 0.3433 0.6867
0.6490 0.6490 0.2979
0.0077 0.0077 0.0154
```

*b*
# AgHgPb

A crystal of AgHgPb relaxed with PBEsol (SCAN, Alexandria).

Results
**DOS at the Fermi energy**: 1.149 states/eV per cell
**Space group**: F-43m

Structure (POSCAR):
```
AgHgPb
1.0
-1.0383 -4.5794 0.3996
0.2778 -2.1215 4.1989
-3.9308 -1.3392 2.2280
Ag Pb Hg
1 1 1
direct
0.7500 0.7500 0.7500
0.5000 0.5000 0.5000
0.0000 0.0000 0.0000
```

Most stable to least stable: *a*, *b*

*a*
# AgHg2Te

A crystal of AgHg2Te relaxed with PBEsol (SCAN, Alexandria).

Results
**DOS at the Fermi energy**: 1.787 states/eV per cell
**Space group**: P4/mmm

Structure (POSCAR):
```
AgHg2Te
1.0
4.1156 0.0000 0.0000
0.0000 4.1156 0.0000
0.0000 0.0000 5.8253
Te Hg Ag
1 2 1
direct
0.0000 0.0000 0.6249
0.5000 0.5000 0.1250
0.0000 0.0000 0.1249
0.5000 0.5000 0.6252
```

*b*
# AgHg2Te

A crystal of AgHg2Te relaxed with PBEsol (SCAN, Alexandria).

Results
**DOS at the Fermi energy**: 1.798 states/eV per cell
**Space group**: Pmmm

Structure (POSCAR):
```
AgHg2Te
1.0
4.0487 0.0000 0.0000
0.0000 4.0383 0.0000
0.0000 0.0000 5.9130
Ag Hg Te
1 2 1
direct
0.0000 0.5000 0.5000
0.0000 0.0000 0.0000
0.5000 0.5000 0.0000
0.5000 0.0000 0.5000
```

*c*
# AgHg2Te

A crystal of AgHg2Te relaxed with PBEsol (SCAN, Alexandria).

Results
**DOS at the Fermi energy**: 1.932 states/eV per cell
**Space group**: I4/mmm

Structure (POSCAR):
```
AgHg2Te
1.0
-0.6272 -3.6220 -1.6773
3.9834 -0.4595 -0.4973
-1.3043 -0.4964 6.4261
Hg Ag Te
2 1 1
direct
0.7500 0.2500 0.5000
0.2500 0.7500 0.5000
0.0000 0.0000 0.0000
0.5000 0.5000 0.0000
```

Most stable to least stable: *a*, *b*, *c*

*a*
# Ag2HgTe

A crystal of Ag2HgTe relaxed with PBEsol (SCAN, Alexandria).

Results
**DOS at the Fermi energy**: 0.886 states/eV per cell
**Space group**: I-4m2

Structure (POSCAR):
```
Ag2HgTe
1.0
-3.6612 2.1081 -0.5088
-1.1399 -1.0222 3.9674
4.3867 3.2821 -0.1731
Ag Hg Te
2 1 1
direct
0.7499 0.2499 0.4997
0.9997 0.9997 0.9994
0.5003 0.5003 0.0006
0.2501 0.7501 0.5003
```

*b*
# Ag2HgTe

A crystal of Ag2HgTe relaxed with PBEsol (SCAN, Alexandria).

Results
**DOS at the Fermi energy**: 1.735 states/eV per cell
**Space group**: R-3m

Structure (POSCAR):
```
Ag2HgTe
1.0
3.2959 0.0000 0.0000
1.6480 2.8543 0.0000
1.6480 0.9514 8.9368
Te Ag Hg
1 2 1
direct
0.0000 0.0000 0.0000
0.7524 0.7524 0.7428
0.2476 0.2476 0.2572
0.5000 0.5000 0.5000
```

Most stable to least stable: *a*, *b*

*a*
# AgHgTe

A crystal of AgHgTe relaxed with PBEsol (SCAN, Alexandria).

Results
**DOS at the Fermi energy**: 0.990 states/eV per cell
**Space group**: I4mm

Structure (POSCAR):
```
AgHgTe
1.0
-0.4092 0.1842 -3.1395
-1.8751 -2.5560 0.0944
-4.3326 5.2372 2.4738
Te Hg Ag
1 1 1
direct
0.3492 0.3492 0.6984
0.6459 0.6459 0.2918
0.0049 0.0049 0.0097
```

*b*
# AgHgTe

A crystal of AgHgTe relaxed with PBEsol (SCAN, Alexandria).

Results
**DOS at the Fermi energy**: 1.959 states/eV per cell
**Space group**: F-43m

Structure (POSCAR):
```
AgHgTe
1.0
-0.9601 -4.0107 2.5447
3.3968 -1.9153 2.8769
-0.4844 0.2437 4.8155
Ag Hg Te
1 1 1
direct
0.0000 0.0000 0.0000
0.5000 0.5000 0.5000
0.2500 0.2500 0.2500
```

Most stable to least stable: *a*, *b*

*a*
# ZnAg2Hg

A crystal of ZnAg2Hg relaxed with PBEsol (SCAN, Alexandria).

Results
**DOS at the Fermi energy**: 1.195 states/eV per cell
**Space group**: Pmm2

Structure (POSCAR):
```
ZnAg2Hg
1.0
2.9998 0.0000 0.0000
0.0000 3.7752 0.0000
0.0000 0.0000 6.0067
Zn Hg Ag
1 1 2
direct
0.5000 0.5000 0.7719
0.0000 0.0000 0.5047
0.0000 0.0000 0.9867
0.5000 0.5000 0.2367
```

*b*
# ZnAg2Hg

A crystal of ZnAg2Hg relaxed with PBEsol (SCAN, Alexandria).

Results
**DOS at the Fermi energy**: 0.990 states/eV per cell
**Space group**: I-4m2

Structure (POSCAR):
```
ZnAg2Hg
1.0
4.0246 0.0000 0.0000
0.0000 4.0246 0.0000
-2.0123 -2.0123 4.1907
Hg Zn Ag
1 1 2
direct
0.5000 0.5000 0.0000
0.2500 0.7500 0.5000
0.7500 0.2500 0.5000
0.0000 0.0000 0.0000
```

Most stable to least stable: *b*, *a*

*a*
# ZnAg2Hg

A crystal of ZnAg2Hg relaxed with PBEsol (SCAN, Alexandria).

Results
**DOS at the Fermi energy**: 1.093 states/eV per cell
**Space group**: Imm2

Structure (POSCAR):
```
ZnAg2Hg
1.0
3.8864 0.0000 0.0000
0.0000 4.1485 0.0000
-1.9432 -2.0742 4.2064
Ag Hg Zn
2 1 1
direct
0.9934 0.9934 0.9867
0.7492 0.2492 0.4984
0.5052 0.5052 0.0103
0.2523 0.7523 0.5045
```

*b*
# ZnAg2Hg

A crystal of ZnAg2Hg relaxed with PBEsol (SCAN, Alexandria).

Results
**DOS at the Fermi energy**: 1.147 states/eV per cell
**Space group**: P2/m

Structure (POSCAR):
```
ZnAg2Hg
1.0
-2.1231 -1.3566 -1.4087
2.7223 -3.0795 -1.1373
0.0689 -1.9571 5.4645
Ag Hg Zn
2 1 1
direct
0.8217 0.0000 0.7338
0.1783 0.0000 0.2662
0.5000 0.5000 0.0000
0.0000 0.5000 0.5000
```

*c*
# ZnAg2Hg

A crystal of ZnAg2Hg relaxed with PBEsol (SCAN, Alexandria).

Results
**DOS at the Fermi energy**: 1.146 states/eV per cell
**Space group**: P4/mmm

Structure (POSCAR):
```
ZnAg2Hg
1.0
-2.4069 -1.0226 -1.5155
-1.4968 -0.3366 2.6042
-2.5612 6.8896 -0.5814
Hg Ag Zn
1 2 1
direct
0.5000 0.5000 0.0000
0.0000 0.0000 0.7217
0.0000 0.0000 0.2783
0.5000 0.5000 0.5000
```

Most stable to least stable: *c*, *a*, *b*

*a*
# ZnAg2Hg

A crystal of ZnAg2Hg relaxed with PBEsol (SCAN, Alexandria).

Results
**DOS at the Fermi energy**: 1.014 states/eV per cell
**Space group**: Pm

Structure (POSCAR):
```
ZnAg2Hg
1.0
2.9312 0.0000 -0.0393
0.0000 4.1739 0.0000
-1.4501 0.0000 5.6360
Hg Ag Zn
1 2 1
direct
0.3157 0.0000 0.4909
0.0475 0.0000 0.9732
0.6904 0.5000 0.2500
0.4465 0.5000 0.7858
```

*b*
# ZnAg2Hg

A crystal of ZnAg2Hg relaxed with PBEsol (SCAN, Alexandria).

Results
**DOS at the Fermi energy**: 1.009 states/eV per cell
**Space group**: I4/mmm

Structure (POSCAR):
```
ZnAg2Hg
1.0
-0.7440 -2.3159 3.2190
1.4961 -3.1970 -1.9543
3.4073 3.6149 0.8597
Zn Ag Hg
1 2 1
direct
0.0000 0.0000 0.0000
0.2500 0.7500 0.5000
0.7500 0.2500 0.5000
0.5000 0.5000 0.0000
```

*c*
# ZnAg2Hg

A crystal of ZnAg2Hg relaxed with PBEsol (SCAN, Alexandria).

Results
**DOS at the Fermi energy**: 0.937 states/eV per cell
**Space group**: Cm

Structure (POSCAR):
```
ZnAg2Hg
1.0
-1.7464 1.6287 1.6744
-0.6734 -3.8424 3.0353
4.7430 1.3833 1.0612
Hg Zn Ag
1 1 2
direct
0.4909 0.4951 0.9817
0.7460 0.2391 0.4921
0.2528 0.7598 0.5056
0.0103 0.0060 0.0206
```

*d*
# ZnAg2Hg

A crystal of ZnAg2Hg relaxed with PBEsol (SCAN, Alexandria).

Results
**DOS at the Fermi energy**: 1.139 states/eV per cell
**Space group**: Pmmm

Structure (POSCAR):
```
ZnAg2Hg
1.0
-0.4012 -3.3389 0.0031
3.9846 -0.4770 2.0220
-2.0107 0.2453 4.0201
Ag Zn Hg
2 1 1
direct
0.5000 0.5000 0.0000
0.0000 0.0000 0.0000
0.0000 0.5000 0.5000
0.5000 0.0000 0.5000
```

Most stable to least stable: *a*, *b*, *c*, *d*

*a*
# ZnAg2Hg

A crystal of ZnAg2Hg relaxed with PBEsol (SCAN, Alexandria).

Results
**DOS at the Fermi energy**: 1.026 states/eV per cell
**Space group**: C2/m

Structure (POSCAR):
```
ZnAg2Hg
1.0
2.9679 0.0000 0.0000
0.0000 4.9433 -0.0301
-1.4840 -1.1801 4.6346
Hg Ag Zn
1 2 1
direct
0.5000 0.0000 0.0000
0.2630 0.2631 0.5259
0.7370 0.7369 0.4741
0.0000 0.5000 0.0000
```

*b*
# ZnAg2Hg

A crystal of ZnAg2Hg relaxed with PBEsol (SCAN, Alexandria).

Results
**DOS at the Fermi energy**: 0.983 states/eV per cell
**Space group**: P4mm

Structure (POSCAR):
```
ZnAg2Hg
1.0
-2.2102 -1.4586 -1.4839
0.6531 -2.5417 1.5256
-4.7955 1.9214 5.2540
Ag Zn Hg
2 1 1
direct
0.0000 0.0000 0.9852
0.5000 0.5000 0.2379
0.5000 0.5000 0.7667
0.0000 0.0000 0.5102
```

Most stable to least stable: *a*, *b*

*a*
# AgTe2OsI

A crystal of AgTe2OsI relaxed with PBEsol (SCAN, Alexandria).

Results
**DOS at the Fermi energy**: 4.628 states/eV per cell
**Space group**: P4/mmm

Structure (POSCAR):
```
AgTe2OsI
1.0
5.0547 0.0000 0.0000
0.0000 5.0547 0.0000
0.0000 0.0000 5.7083
Os Te Ag I
1 2 1 1
direct
0.0000 0.0000 0.0000
0.0000 0.5000 0.0000
0.5000 0.0000 0.0000
0.5000 0.5000 0.5000
0.0000 0.0000 0.5000
```

*b*
# AgTe2OsI

A crystal of AgTe2OsI relaxed with PBEsol (SCAN, Alexandria).

Results
**DOS at the Fermi energy**: 5.176 states/eV per cell
**Space group**: P4/mmm

Structure (POSCAR):
```
AgTe2OsI
1.0
-2.8864 4.1473 -1.5087
0.6553 -1.3910 -5.0774
-4.3912 -2.9667 0.2460
I Ag Te Os
1 1 2 1
direct
0.5000 0.0000 0.0000
0.0000 0.0000 0.0000
0.0000 0.0000 0.5000
0.0000 0.5000 0.0000
0.5000 0.5000 0.5000
```

Most stable to least stable: *a*, *b*

*a*
# AgTe2RhI

A crystal of AgTe2RhI relaxed with PBEsol (SCAN, Alexandria).

Results
**DOS at the Fermi energy**: 6.348 states/eV per cell
**Space group**: P4/mmm

Structure (POSCAR):
```
AgTe2RhI
1.0
5.1011 0.0000 0.0000
0.0000 5.1011 0.0000
0.0000 0.0000 5.4541
Rh I Te Ag
1 1 2 1
direct
0.0000 0.0000 0.0000
0.0000 0.0000 0.5000
0.0000 0.5000 0.0000
0.5000 0.0000 0.0000
0.5000 0.5000 0.5000
```

*b*
# AgTe2RhI

A crystal of AgTe2RhI relaxed with PBEsol (SCAN, Alexandria).

Results
**DOS at the Fermi energy**: 5.679 states/eV per cell
**Space group**: P4/mmm

Structure (POSCAR):
```
AgTe2RhI
1.0
5.2787 0.0000 0.0000
0.0000 5.2787 0.0000
0.0000 0.0000 5.3955
I Te Ag Rh
1 2 1 1
direct
0.0000 0.0000 0.5000
0.5000 0.0000 0.0000
0.0000 0.5000 0.0000
0.0000 0.0000 0.0000
0.5000 0.5000 0.5000
```

Most stable to least stable: *a*, *b*

*a*
# InAg5

A crystal of InAg5 relaxed with PBEsol (SCAN, Alexandria).

Results
**DOS at the Fermi energy**: 1.587 states/eV per cell
**Space group**: Cm

Structure (POSCAR):
```
InAg5
1.0
-0.6897 -2.6457 -1.0622
3.6792 -0.9456 4.0164
-6.1055 0.3095 3.1933
Ag In
5 1
direct
0.3902 0.7803 0.2802
0.9999 0.9999 0.0046
0.0529 0.1059 0.6050
0.6682 0.3364 0.3376
0.3351 0.6703 0.6646
0.7203 0.4406 0.9413
```

*b*
# InAg5

A crystal of InAg5 relaxed with PBEsol (SCAN, Alexandria).

Results
**DOS at the Fermi energy**: 1.424 states/eV per cell
**Space group**: P-62m

Structure (POSCAR):
```
InAg5
1.0
4.7484 0.0000 0.0000
0.0000 5.0122 0.0000
0.0000 -2.5061 4.3407
Ag In
5 1
direct
0.5000 0.6667 0.3333
0.0000 0.0000 0.6638
0.0000 0.3362 0.3362
0.5000 0.3333 0.6667
0.0000 0.6638 0.0000
0.5000 0.0000 0.0000
```

*c*
# InAg5

A crystal of InAg5 relaxed with PBEsol (SCAN, Alexandria).

Results
**DOS at the Fermi energy**: 1.664 states/eV per cell
**Space group**: Cmmm

Structure (POSCAR):
```
InAg5
1.0
-2.9071 2.9004 -0.4658
-2.3924 -1.9589 2.7336
1.3035 2.2488 5.8678
Ag In
5 1
direct
0.5000 0.0000 0.0000
0.5000 0.3307 0.3386
0.0000 0.8323 0.3354
0.0000 0.1677 0.6646
0.5000 0.6693 0.6614
0.0000 0.5000 0.0000
```

Most stable to least stable: *b*, *c*, *a*